(1)
A plane-wave DFT calculation with PBE was carried out for a relaxed structure of RbErAgI5.

extended XYZ file:
```
16
Lattice="-2.5280 -2.2218 -7.8065 5.8105 -5.6830 2.4921 -9.0694 -2.6775 6.4434" Properties=species:S:1:pos:R:3 pbc="T T T"
Rb 0.5896 -5.1264 0.4551
Rb -6.3765 -5.4560 0.6739
Er 0.0000 0.0000 0.0000
Er -4.5347 -1.3388 3.2217
I -5.7050 -8.2634 3.0599
I -3.5015 -4.1205 2.6680
I -2.2854 -6.4618 -1.5390
I -4.3898 -6.5071 6.8462
I -0.0819 -2.3189 -1.9309
I 2.9117 -6.0902 3.3230
I -4.8718 -3.0860 -2.5714
I -8.6985 -4.4921 -2.1940
I -0.9151 -7.4963 3.7004
I -1.3971 -4.0752 -5.7172
Ag -3.5780 -6.6175 4.1302
Ag -2.2089 -3.9648 -3.0012
```

Formation energy (no corrections)   -1.113 eV/atom
Symmetry   C2/c (15)
Density   4.51 g/cm3

(2)
A plane-wave DFT calculation with PBE was carried out for a relaxed structure of ErTlAg2I6.

extended XYZ file:
```
10
Lattice="-7.3120 2.7669 -0.8172 -5.5030 -1.8008 5.3187 -2.4781 6.1845 5.3355" Properties=species:S:1:pos:R:3 pbc="T T T"
Tl -11.8129 4.2378 6.6417
I -8.1022 6.4546 4.2002
I -4.9073 4.4298 5.8026
I -7.5733 0.5028 5.9253
I -10.5229 2.9365 3.5838
I -6.2858 2.5734 2.1626
I -8.5598 4.3185 7.6789
Ag -12.7825 1.0707 4.5711
Ag -7.7070 3.3853 4.7968
Er -4.2496 0.3924 1.5457
```

Formation energy (no corrections)   -0.726 eV/atom
Symmetry   R3 (146)
Density   5.79 g/cm3

(3)
A plane-wave DFT calculation with PBE was carried out for a relaxed structure of Er4In5Ag2.

extended XYZ file:
```
11
Lattice="-1.7162 -0.3557 3.0417 4.4017 -6.1296 1.7667 6.1619 6.6507 4.2546" Properties=species:S:1:pos:R:3 pbc="T T T"
Er 3.5227 -4.4386 3.4943
Er 5.3246 4.6039 5.5686
Er 2.9959 1.1646 3.8524
Er 5.8514 -0.9993 5.2105
In 8.7890 0.5704 5.0258
In 4.3439 -1.3611 2.2918
In 2.2008 -3.0648 0.8833
In 6.2196 1.8821 3.7295
In 1.7745 -0.0494 0.9955
Ag 4.2040 3.8197 2.8188
Ag 6.3595 -3.2987 3.2025
```

E_tot   -3.794 eV per atom
Symmetry   P2/m (10)
Density   8.92 g/cm3

(4)
A plane-wave DFT calculation with PBE was carried out for a relaxed structure of Er3In2Ag2.

extended XYZ file:
```
7
Lattice="4.5169 0.0000 0.5994 0.0000 3.4413 0.0000 0.8414 0.0000 10.9776" Properties=species:S:1:pos:R:3 pbc="T T T"
Ag 3.7054 1.7206 6.7142
Ag 1.6528 1.7206 4.8629
In 3.3184 1.7206 9.6302
In 2.0398 1.7206 1.9468
Er 4.0620 0.0000 4.0265
Er 0.0000 0.0000 0.0000
Er 1.2962 0.0000 7.5506
```

E_tot   -3.926 eV per atom
Symmetry   Cmmm (65)
Density   9.31 g/cm3

(5)
A plane-wave DFT calculation with PBE was carried out for a relaxed structure of ErIn2Ag6.

extended XYZ file:
```
9
Lattice="3.3512 0.0000 0.0000 0.0000 8.1133 0.0000 -1.6756 -4.0567 7.0240" Properties=species:S:1:pos:R:3 pbc="T T T"
In 1.6756 4.0567 4.9543
In 0.0000 0.0000 2.0698
Ag 0.0000 -1.4026 4.5764
Ag 1.6756 5.4593 2.4477
Ag 0.0000 1.4026 4.5764
Ag 1.6756 6.6940 0.0000
Ag 1.6756 2.6540 2.4477
Ag 1.6756 1.4193 0.0000
Er 0.0000 4.0567 0.0000
```

E_tot   -3.065 eV per atom
Symmetry   Immm (71)
Density   9.08 g/cm3

(6)
A plane-wave DFT calculation with PBE was carried out for a relaxed structure of Er2In3Ag.

extended XYZ file:
```
12
Lattice="0.4572 -3.1832 -5.0812 -3.7543 -2.8042 3.7686 -4.8820 7.3117 -2.6364" Properties=species:S:1:pos:R:3 pbc="T T T"
In -6.4439 3.6729 -0.5676
In -3.7934 -2.1633 0.9436
In -5.9689 -0.1370 -2.8346
In -2.2102 1.4614 -1.1144
In -1.7352 -2.3485 -3.3814
In -4.3857 3.4877 -4.8927
Ag -4.3400 2.8696 -2.1882
Ag -3.8391 -1.5453 -1.7608
Er -3.0367 0.5674 -4.1870
Er -2.4657 -4.4776 -0.9816
Er -0.8314 -1.5098 -0.3310
Er -5.1424 0.7569 0.2379
```

Excess energy over the best structure of this formula in the dataset   5.2 meV per atom
Symmetry   Fmmm (69)
Density   9.01 g/cm3

Number 1: V 732.9 Å³/cell, spin magnetization 0.000 μB/cell. Number 2: V 387.0 Å³/cell, spin magnetization 0.000 μB/cell. Number 3: V 271.6 Å³/cell, spin magnetization 0.000 μB/cell. Number 4: V 168.9 Å³/cell, spin magnetization 0.001 μB/cell. Number 5: V 191.0 Å³/cell, spin magnetization 0.000 μB/cell. Number 6: V 289.9 Å³/cell, spin magnetization 0.000 μB/cell.